Material: TiNbSi2
Method: DFT, PBE-GGA
State: optimized geometry

Lattice parameters (Å, degrees): 3.5943 3.5943 17.9424 90.00 90.00 120.00
Closest atoms and distances in Å follow each position.
Fractional positions:
Ti 0.0000 0.0000 0.0000  6 Si 2.54
Ti 0.3333 0.6667 0.6667  6 Si 2.54
Ti 0.6667 0.3333 0.3333  6 Si 2.54
Nb 0.0000 0.0000 0.5000  6 Si 2.58
Nb 0.3333 0.6667 0.1667  6 Si 2.58
Nb 0.6667 0.3333 0.8333  6 Si 2.58
Si 0.0000 0.0000 0.2519  3 Ti 2.54, 3 Nb 2.58
Si 0.0000 0.0000 0.7481  3 Ti 2.54, 3 Nb 2.58
Si 0.3333 0.6667 0.4148  3 Ti 2.54, 3 Nb 2.58
Si 0.3333 0.6667 0.9186  3 Ti 2.54, 3 Nb 2.58
Si 0.6667 0.3333 0.0814  3 Ti 2.54, 3 Nb 2.58
Si 0.6667 0.3333 0.5852  3 Ti 2.54, 3 Nb 2.58

Output
Space group   R-3m, No. 166
ΔE_f (raw)   -1.43 eV per formula unit
Electronic total energy   -30.2 eV/f.u.
V   200.7 Å³ per cell
Total magnetic moment   0.00 μB per cell
Crystal system   trigonal